The following is a PBE-GGA calculation of a relaxed structure of Cs2PrBi2O6, from the Alexandria database.

```
11
Lattice="5.741 -3.317 0.000 5.741 3.317 0.000 -3.958 0.000 8.261" Properties=species:S:1:pos:R:3 pbc="T T T"
Cs 1.917 0.000 1.436
Cs 5.607 0.000 6.826
Pr 5.741 0.000 0.000
Bi -2.049 0.000 6.004
Bi 9.573 0.000 2.258
O 4.761 1.725 1.327
O 2.763 1.725 6.935
O -0.223 0.000 6.967
O 7.747 0.000 1.295
O 4.761 -1.725 1.327
O 2.763 -1.725 6.935
```

Values from the calculation:
The calculation puts the volume at 314.6 Å³ per cell. The space-group type is C2/m, No. 12.

=====

The following is a PBE-GGA calculation of a relaxed structure of Cs3Pr3BiO8, from the Alexandria database.

```
15
Lattice="3.675 2.122 7.048 -3.675 2.122 7.048 0.000 -4.243 7.048" Properties=species:S:1:pos:R:3 pbc="T T T"
Cs -1.837 -1.061 7.048
Cs -1.837 1.061 14.095
Cs 0.000 2.122 7.048
Pr -3.675 0.000 10.571
Pr -1.837 1.061 3.524
Pr 1.837 1.061 3.524
Bi 0.000 0.000 10.571
O 0.000 0.000 4.681
O -1.746 -1.008 11.730
O 0.000 -2.016 9.412
O -1.746 1.008 9.412
O 1.746 -1.008 11.730
O 0.000 2.016 11.730
O 1.746 1.008 9.412
O 0.000 0.000 16.462
```

Values from the calculation:
The calculation puts the volume at 329.6 Å³ per cell. The space-group type is R-3m, No. 166.

=====

The following is a PBE-GGA calculation of a relaxed structure of Cs3PrBi2O8, from the Alexandria database.

```
14
Lattice="6.604 0.000 0.000 -3.302 5.720 0.000 0.000 0.000 8.575" Properties=species:S:1:pos:R:3 pbc="T T T"
Cs 0.000 0.000 0.000
Cs 0.000 3.813 5.890
Cs 3.302 1.907 2.685
Pr 0.000 0.000 4.288
Bi 0.000 3.813 2.083
Bi 3.302 1.907 6.493
O 0.000 1.918 2.872
O -1.641 4.761 2.872
O 0.000 3.813 0.086
O 1.661 0.959 5.703
O 1.641 4.761 2.872
O 3.302 1.907 8.489
O 4.943 0.959 5.703
O 3.302 3.802 5.703
```

Values from the calculation:
The calculation puts the volume at 323.9 Å³ per cell. The space-group type is P-3m1, No. 164.

=====

The following is a PBE-GGA calculation of a relaxed structure of Cs2Pr2BiO6, from the Alexandria database.

```
11
Lattice="3.166 -5.463 0.000 3.166 5.463 0.000 -1.992 0.000 7.100" Properties=species:S:1:pos:R:3 pbc="T T T"
Cs 3.166 3.657 0.000
Cs 3.166 -3.657 0.000
Pr 2.170 1.807 3.550
Pr 2.170 -1.807 3.550
Bi -0.996 0.000 3.550
O 0.009 1.783 4.701
O 0.991 0.000 2.385
O 0.009 -1.783 4.701
O 4.332 1.783 2.399
O 3.350 0.000 4.715
O 4.332 -1.783 2.399
```

Values from the calculation:
The calculation puts the volume at 245.6 Å³ per cell. The space-group type is C2/m, No. 12.

=====

The following is a PBE-GGA calculation of a relaxed structure of Cs2BiPtO4, from the Alexandria database.

```
16
Lattice="0.000 7.229 11.635 3.233 0.000 11.635 3.233 7.229 0.000" Properties=species:S:1:pos:R:3 pbc="T T T"
Cs 2.425 5.421 1.233
Cs 4.041 9.036 7.050
Cs 2.425 5.421 16.220
Cs 4.041 9.036 22.038
Bi 0.808 1.807 2.909
Bi 5.658 12.650 20.362
Pt 2.425 5.421 8.726
Pt 4.041 9.036 14.544
O 3.886 4.065 8.719
O 3.886 6.778 8.734
O 5.502 7.679 14.551
O 5.502 10.392 14.537
O 0.964 4.065 8.734
O 0.964 6.778 8.719
O 2.581 7.679 14.537
O 2.581 10.392 14.551
```

Values from the calculation:
The calculation puts the volume at 543.9 Å³ per cell. The space-group type is Fddd, No. 70.

=====

The following is a PBE-GGA calculation of a relaxed structure of Cs2PuBi2O6, from the Alexandria database.

```
11
Lattice="3.137 -5.373 0.000 3.137 5.373 0.000 -2.111 0.000 7.088" Properties=species:S:1:pos:R:3 pbc="T T T"
Cs 3.137 3.549 0.000
Cs 3.137 -3.549 0.000
Pu -1.056 0.000 3.544
Bi 2.081 1.813 3.544
Bi 2.081 -1.813 3.544
O -0.090 1.752 4.694
O 0.767 0.000 2.359
O -0.090 -1.752 4.694
O 4.253 1.752 2.394
O 3.396 0.000 4.729
O 4.253 -1.752 2.394
```

Values from the calculation:
The calculation puts the volume at 238.9 Å³ per cell. The space-group type is C2/m, No. 12.

=====

The following is a PBE-GGA calculation of a relaxed structure of Cs3Pu2BiO9, from the Alexandria database.

```
15
Lattice="6.261 0.000 0.000 -3.130 5.422 0.000 0.000 0.000 7.689" Properties=species:S:1:pos:R:3 pbc="T T T"
Cs 0.000 0.000 0.000
Cs 0.000 3.615 5.076
Cs 3.130 1.807 2.612
Pu 0.000 3.615 1.224
Pu 3.130 1.807 6.465
Bi 0.000 0.000 3.844
O -1.565 2.711 0.000
O 0.000 1.950 2.414
O -1.442 4.447 2.414
O 1.689 0.975 5.275
O 3.130 0.000 0.000
O 1.565 2.711 0.000
O 1.442 4.447 2.414
O 4.572 0.975 5.275
O 3.130 3.472 5.275
```

Values from the calculation:
The calculation puts the volume at 261.0 Å³ per cell. The space-group type is P-3m1, No. 164.

=====

The following is a PBE-GGA calculation of a relaxed structure of CsPuBi2O8, from the Alexandria database.

```
12
Lattice="5.217 0.000 0.000 -0.071 5.277 0.000 -0.572 -0.187 8.541" Properties=species:S:1:pos:R:3 pbc="T T T"
Cs 0.000 0.000 0.000
Pu -0.286 -0.093 4.270
Bi 2.324 2.324 2.603
Bi 2.249 2.767 5.938
O 0.641 4.348 2.926
O 0.561 4.123 5.815
O 1.315 1.527 4.432
O 1.581 1.944 8.320
O 2.992 3.146 0.221
O 3.258 3.564 4.109
O 4.012 0.967 2.726
O 3.932 0.743 5.615
```

Values from the calculation:
The calculation puts the volume at 235.2 Å³ per cell. The space-group type is P-1, No. 2.

=====

The following is a PBE-GGA calculation of a relaxed structure of CsPuBiO6, from the Alexandria database.

```
18
Lattice="-3.934 4.031 5.638 3.934 -4.031 5.638 3.934 4.031 -5.638" Properties=species:S:1:pos:R:3 pbc="T T T"
Cs 0.000 2.016 1.267
Cs 3.934 2.016 4.371
Pu 3.934 0.000 0.000
Pu 0.000 0.000 5.638
Bi 1.967 2.016 -2.819
Bi 1.967 -2.016 2.819
O 2.516 -0.398 1.310
O 5.353 -0.398 1.310
O 3.934 -2.016 3.692
O 3.934 2.016 0.607
O 2.516 3.633 -1.310
O 1.419 -0.398 4.328
O 2.516 4.430 1.310
O 1.419 0.398 6.948
O 0.000 2.016 5.031
O 0.000 6.047 1.946
O -1.419 4.430 4.328
O 1.419 4.430 4.328
```

Values from the calculation:
The calculation puts the volume at 357.7 Å³ per cell. The space-group type is Imma, No. 74.

=====

The following is a PBE-GGA calculation of a relaxed structure of CsRbBi2O, from the Alexandria database.

```
5
Lattice="5.118 0.000 0.000 0.000 5.118 0.000 0.000 0.000 5.992" Properties=species:S:1:pos:R:3 pbc="T T T"
Cs 0.000 0.000 0.000
Rb 2.559 2.559 0.000
Bi 0.000 2.559 2.996
Bi 2.559 0.000 2.996
O 2.559 2.559 2.996
```

Values from the calculation:
The calculation puts the volume at 157.0 Å³ per cell. The space-group type is P4/mmm, No. 123.

=====

The following is a PBE-GGA calculation of a relaxed structure of Cs2RbBiO4, from the Alexandria database.

```
16
Lattice="0.000 6.806 12.597 3.501 0.000 12.597 3.501 6.806 0.000" Properties=species:S:1:pos:R:3 pbc="T T T"
Cs 2.625 5.104 1.960
Cs 4.376 8.507 8.259
Cs 2.625 5.104 16.936
Cs 4.376 8.507 23.235
Rb 0.875 1.701 3.149
Rb 6.126 11.910 22.046
Bi 2.625 5.104 9.448
Bi 4.376 8.507 15.747
O 3.887 3.759 8.544
O 3.887 6.450 10.352
O 5.637 7.162 16.650
O 1.364 3.759 10.352
O 5.637 9.853 14.843
O 1.364 6.450 8.544
O 3.114 7.162 14.843
O 3.114 9.853 16.650
```

Values from the calculation:
The calculation puts the volume at 600.3 Å³ per cell. The space-group type is Fddd, No. 70.

=====

The following is a PBE-GGA calculation of a relaxed structure of CsReBiO6, from the Alexandria database.

```
9
Lattice="2.866 -4.889 0.000 2.866 4.889 0.000 -0.032 0.000 6.529" Properties=species:S:1:pos:R:3 pbc="T T T"
Cs 0.000 0.000 0.000
Re 2.850 -1.655 3.265
Bi 2.850 1.630 3.265
O 2.227 -0.187 2.182
O 1.415 -1.980 4.455
O 1.821 -2.779 2.093
O 3.473 -0.187 4.347
O 4.285 -1.980 2.075
O 3.879 -2.779 4.436
```

Values from the calculation:
The calculation puts the volume at 183.0 Å³ per cell. The space-group type is C2, No. 5.

=====

no.,formation energy (no corrections) (eV/atom)
1,-1.61
2,-2.22
3,-1.50
4,-2.10
5,-0.90
6,-1.74
7,-2.08
8,-1.56
9,-1.83
10,-0.39
11,-1.02
12,-1.42